--- A ---
The following is a PBE-GGA calculation of a relaxed TaGe3O crystal, from Alexandria.

Geometry as POSCAR:
```
TaGe3O
1.0
4.2879 0.0000 0.0000
0.0000 4.2879 0.0000
0.0000 0.0000 4.2879
Ta Ge O
1 3 1
Cartesian
0.0000 0.0000 0.0000
0.0000 2.1439 2.1439
2.1439 0.0000 2.1439
2.1439 2.1439 0.0000
2.1439 2.1439 2.1439
```

Summary:
SG	Pm-3m

--- B ---
The following is a PBE-GGA calculation of a relaxed TaGe3O crystal, from Alexandria.

Geometry as POSCAR:
```
TaGe3O
1.0
5.0152 0.0000 0.0000
0.0000 5.0152 0.0000
0.0000 0.0000 5.0152
Ta Ge O
1 3 1
Cartesian
0.0000 0.0000 0.0000
0.0000 0.0000 2.5076
0.0000 2.5076 0.0000
2.5076 0.0000 0.0000
2.5076 2.5076 2.5076
```

Summary:
SG	Pm-3m

What should be chosen as the least stable of them? Choose B.

--- A ---
The following is a PBE-GGA calculation of a relaxed Tb3GeO crystal, from Alexandria.

Geometry as POSCAR:
```
Tb3GeO
1.0
7.2158 0.0000 0.0000
0.0000 3.7530 0.0000
-0.7972 0.0000 8.0605
Tb Ge O
6 2 2
Cartesian
0.2322 0.9382 2.7409
1.0906 0.9382 7.5664
2.2079 2.8147 5.0377
4.2107 0.9382 3.0228
5.3281 2.8147 0.4941
6.1864 2.8147 5.3195
2.3409 2.8147 1.8515
4.0777 0.9382 6.2089
0.5144 0.9382 5.1065
5.9042 2.8147 2.9540
```

Summary:
SG	P2_1/m

--- B ---
The following is a PBE-GGA calculation of a relaxed Tb3GeO crystal, from Alexandria.

Geometry as POSCAR:
```
Tb3GeO
1.0
4.7104 0.0000 0.0000
0.0000 4.7104 0.0000
0.0000 0.0000 4.7104
Tb Ge O
3 1 1
Cartesian
0.0000 0.0000 2.3552
0.0000 2.3552 0.0000
2.3552 0.0000 0.0000
2.3552 2.3552 2.3552
0.0000 0.0000 0.0000
```

Summary:
SG	Pm-3m

What should be chosen as the least stable of them? Choose B.

--- A ---
The following is a PBE-GGA calculation of a relaxed Tb2GeO crystal, from Alexandria.

Geometry as POSCAR:
```
Tb2GeO
1.0
1.7217 0.9940 7.5078
-1.7217 0.9940 7.5078
0.0000 -1.9880 7.5078
Tb Ge O
2 1 1
Cartesian
0.0000 0.0000 0.0000
0.0000 0.0000 3.1464
0.0000 0.0000 12.8227
0.0000 0.0000 16.6532
```

Summary:
SG	R3m

--- B ---
The following is a PBE-GGA calculation of a relaxed Tb2GeO crystal, from Alexandria.

Geometry as POSCAR:
```
Tb2GeO
1.0
5.8048 0.0000 0.0000
0.0000 5.7173 0.0000
-5.1220 0.0000 10.5689
Tb Ge O
8 4 4
Cartesian
0.0019 1.2360 1.1264
-2.5591 4.4813 6.4108
-2.5864 1.3286 9.0716
-0.0255 4.3887 3.7871
0.7083 1.3286 6.7818
3.2692 4.3887 1.4973
3.2419 1.2360 4.1581
0.6809 4.4813 9.4425
0.3390 1.5332 3.9545
-2.2219 4.1841 9.2389
2.9047 1.5332 1.3300
0.3438 4.1841 6.6145
-2.8981 1.0000 6.5732
-0.3371 4.7173 1.2888
1.0199 1.0000 9.2801
3.5809 4.7173 3.9957
```

Summary:
SG	P2/c

--- C ---
The following is a PBE-GGA calculation of a relaxed Tb2GeO crystal, from Alexandria.

Geometry as POSCAR:
```
Tb2GeO
1.0
2.2416 1.2942 7.0039
-2.2416 1.2942 7.0039
0.0000 -2.5883 7.0039
Tb Ge O
2 1 1
Cartesian
0.0000 0.0000 2.0449
0.0000 0.0000 18.9668
0.0000 0.0000 10.5058
0.0000 0.0000 0.0000
```

Summary:
SG	R-3m

What should be chosen as the least stable of them? Choose A.

--- A ---
The following is a PBE-GGA calculation of a relaxed Tb4Ge2O crystal, from Alexandria.

Geometry as POSCAR:
```
Tb4Ge2O
1.0
-2.2601 2.2601 7.9049
2.2601 -2.2601 7.9049
2.2601 2.2601 -7.9049
Tb Ge O
4 2 1
Cartesian
2.2601 0.0000 0.0000
0.0000 0.0000 2.8027
0.0000 2.2601 0.0000
0.0000 0.0000 13.0070
0.0000 0.0000 5.7442
0.0000 0.0000 10.0656
0.0000 0.0000 0.0000
```

Summary:
SG	I4/mmm

--- B ---
The following is a PBE-GGA calculation of a relaxed Tb4Ge2O crystal, from Alexandria.

Geometry as POSCAR:
```
Tb4Ge2O
1.0
6.5374 0.0000 0.0000
0.0000 6.6127 0.0000
-2.6051 0.0000 7.8578
Tb Ge O
8 4 2
Cartesian
-0.6631 0.0045 2.0581
-0.6631 3.3019 2.0581
2.4419 4.9595 0.6812
1.2111 4.9595 4.9289
2.7211 1.6532 2.9288
1.4904 1.6532 7.1765
4.5954 3.3108 5.7997
4.5954 6.6082 5.7997
1.2856 1.6532 0.3676
0.1665 1.6532 4.4570
3.7658 4.9595 3.4008
2.6466 4.9595 7.4902
-0.5707 4.9595 6.3374
4.5029 1.6532 1.5203
```

Summary:
SG	P2_1/m

What should be chosen as the least stable of them? Choose A.

--- A ---
The following is a PBE-GGA calculation of a relaxed GeTe2O crystal, from Alexandria.

Geometry as POSCAR:
```
GeTe2O
1.0
-2.7035 2.7035 7.1306
2.7035 -2.7035 7.1306
2.7035 2.7035 -7.1306
Ge Te O
2 4 2
Cartesian
0.0000 0.0000 0.0000
0.0000 2.7035 3.5653
1.3518 -0.8079 5.3479
1.8956 1.3518 1.7826
1.3518 3.5114 -1.7826
0.8079 1.3518 8.9132
2.7035 0.0000 3.5653
0.0000 0.0000 7.1306
```

Summary:
SG	I-42d

--- B ---
The following is a PBE-GGA calculation of a relaxed GeTe2O crystal, from Alexandria.

Geometry as POSCAR:
```
GeTe2O
1.0
2.0582 1.1883 7.4191
-2.0582 1.1883 7.4191
0.0000 -2.3767 7.4191
Ge Te O
1 2 1
Cartesian
0.0000 0.0000 0.0000
0.0000 0.0000 9.1020
0.0000 0.0000 13.1553
0.0000 0.0000 11.1286
```

Summary:
SG	R-3m

What should be chosen as the least stable of them? Choose A.

--- A ---
The following is a PBE-GGA calculation of a relaxed GeTe2O crystal, from Alexandria.

Geometry as POSCAR:
```
GeTe2O
1.0
0.0000 3.3842 3.3842
3.3842 0.0000 3.3842
3.3842 3.3842 0.0000
Ge Te O
1 2 1
Cartesian
0.0000 0.0000 0.0000
1.6921 1.6921 1.6921
5.0764 5.0764 5.0764
3.3842 3.3842 3.3842
```

Summary:
SG	Fm-3m

--- B ---
The following is a PBE-GGA calculation of a relaxed GeTe2O crystal, from Alexandria.

Geometry as POSCAR:
```
GeTe2O
1.0
1.5932 0.9198 9.3905
-1.5932 0.9198 9.3905
0.0000 -1.8396 9.3905
Ge Te O
1 2 1
Cartesian
0.0000 0.0000 0.0000
0.0000 0.0000 2.8824
0.0000 0.0000 25.2892
0.0000 0.0000 14.0858
```

Summary:
SG	R-3m

What should be chosen as the least stable of them? Choose A.

--- A ---
The following is a PBE-GGA calculation of a relaxed Ge2TeO crystal, from Alexandria.

Geometry as POSCAR:
```
Ge2TeO
1.0
-2.6772 2.6772 6.4759
2.6772 -2.6772 6.4759
2.6772 2.6772 -6.4759
Ge Te O
4 2 2
Cartesian
0.6310 1.3386 1.6190
-1.3386 2.0462 4.8569
-0.6310 4.0158 1.6190
1.3386 3.3082 4.8569
2.6772 0.0000 3.2380
0.0000 0.0000 6.4759
0.0000 0.0000 0.0000
0.0000 2.6772 3.2380
```

Summary:
SG	I-42d

--- B ---
The following is a PBE-GGA calculation of a relaxed Ge2TeO crystal, from Alexandria.

Geometry as POSCAR:
```
Ge2TeO
1.0
0.0000 3.3434 3.3434
3.3434 0.0000 3.3434
3.3434 3.3434 0.0000
Ge Te O
2 1 1
Cartesian
1.6717 1.6717 1.6717
5.0150 5.0150 5.0150
0.0000 0.0000 0.0000
3.3434 3.3434 3.3434
```

Summary:
SG	Fm-3m

What should be chosen as the least stable of them? Choose B.

--- A ---
The following is a PBE-GGA calculation of a relaxed GeTeO4 crystal, from Alexandria.

Geometry as POSCAR:
```
GeTeO4
1.0
3.3170 -7.8449 0.0000
3.3170 7.8449 0.0000
-3.0458 0.0000 3.3539
Ge Te O
2 2 8
Cartesian
1.0327 4.8603 2.5155
2.5556 -4.8603 0.8385
2.5556 1.9171 0.8385
1.0327 -1.9171 2.5155
-0.8585 1.8336 2.2155
1.1415 3.3014 1.1477
0.6643 -1.8336 0.5385
3.9697 3.3014 0.5292
-0.3814 -3.3014 2.8247
2.9240 1.8336 2.8154
2.4468 -3.3014 2.2062
4.4469 -1.8336 1.1385
```

Summary:
SG	C2/c

--- B ---
The following is a PBE-GGA calculation of a relaxed GeTeO4 crystal, from Alexandria.

Geometry as POSCAR:
```
GeTeO4
1.0
4.8289 0.0000 0.0000
0.0000 5.3246 0.0000
0.0000 0.0000 5.8628
Ge Te O
2 2 8
Cartesian
0.0000 0.0000 0.0000
0.0000 2.6623 2.9314
2.4144 0.0000 2.2930
2.4144 2.6623 5.2244
0.9566 1.1378 4.8622
0.9566 1.5245 1.9308
1.3508 3.5582 3.7908
1.3508 4.4286 0.8594
3.4780 0.8960 0.8594
3.4780 1.7663 3.7908
3.8723 3.8000 1.9308
3.8723 4.1868 4.8622
```

Summary:
SG	Pnc2

What should be chosen as the least stable of them? Choose A.

--- A ---
The following is a PBE-GGA calculation of a relaxed GeTe3O crystal, from Alexandria.

Geometry as POSCAR:
```
GeTe3O
1.0
5.3089 0.0000 0.0000
0.0000 5.3089 0.0000
0.0000 0.0000 5.3089
Ge Te O
1 3 1
Cartesian
0.0000 0.0000 0.0000
0.0000 0.0000 2.6544
0.0000 2.6544 0.0000
2.6544 0.0000 0.0000
2.6544 2.6544 2.6544
```

Summary:
SG	Pm-3m

--- B ---
The following is a PBE-GGA calculation of a relaxed GeTe3O crystal, from Alexandria.

Geometry as POSCAR:
```
GeTe3O
1.0
4.8562 0.0000 0.0000
0.0000 4.8562 0.0000
0.0000 0.0000 4.8562
Ge Te O
1 3 1
Cartesian
0.0000 0.0000 0.0000
0.0000 2.4281 2.4281
2.4281 0.0000 2.4281
2.4281 2.4281 0.0000
2.4281 2.4281 2.4281
```

Summary:
SG	Pm-3m

What should be chosen as the least stable of them? Choose A.

--- A ---
The following is a PBE-GGA calculation of a relaxed Ti2GeO crystal, from Alexandria.

Geometry as POSCAR:
```
Ti2GeO
1.0
1.9631 1.1334 6.0117
-1.9631 1.1334 6.0117
0.0000 -2.2668 6.0117
Ti Ge O
2 1 1
Cartesian
0.0000 0.0000 1.8228
0.0000 0.0000 16.2122
0.0000 0.0000 9.0175
0.0000 0.0000 0.0000
```

Summary:
SG	R-3m

--- B ---
The following is a PBE-GGA calculation of a relaxed Ti2GeO crystal, from Alexandria.

Geometry as POSCAR:
```
Ti2GeO
1.0
-3.0516 3.0516 3.1820
3.0516 -3.0516 3.1820
3.0516 3.0516 -3.1820
Ti Ge O
4 2 2
Cartesian
4.5774 0.9281 -0.7955
0.9281 1.5258 0.7955
-1.5258 2.1235 2.3865
2.1235 1.5258 3.9776
3.0516 0.0000 1.5910
0.0000 0.0000 3.1820
0.0000 0.0000 0.0000
0.0000 3.0516 1.5910
```

Summary:
SG	I-42d

What should be chosen as the least stable of them? Choose A.

--- A ---
The following is a PBE-GGA calculation of a relaxed Ti3GeO crystal, from Alexandria.

Geometry as POSCAR:
```
Ti3GeO
1.0
4.1107 0.0000 0.0000
0.0000 4.1107 0.0000
0.0000 0.0000 4.1107
Ti Ge O
3 1 1
Cartesian
0.0000 0.0000 2.0553
0.0000 2.0553 0.0000
2.0553 0.0000 0.0000
2.0553 2.0553 2.0553
0.0000 0.0000 0.0000
```

Summary:
SG	Pm-3m

--- B ---
The following is a PBE-GGA calculation of a relaxed Ti3GeO crystal, from Alexandria.

Geometry as POSCAR:
```
Ti3GeO
1.0
2.8194 -6.0350 0.0000
2.8194 6.0350 0.0000
0.0000 0.0000 4.0673
Ti Ge O
6 2 2
Cartesian
1.4097 3.0175 2.0336
2.8194 4.3390 0.0000
1.4657 0.0000 2.0336
1.4097 -3.0175 2.0336
4.1732 0.0000 2.0336
2.8194 -4.3390 0.0000
2.8194 1.5585 0.0000
2.8194 -1.5585 0.0000
2.8194 4.5798 2.0336
2.8194 -4.5798 2.0336
```

Summary:
SG	Cmmm

What should be chosen as the least stable of them? Choose A.

--- A ---
The following is a PBE-GGA calculation of a relaxed TlGe3O crystal, from Alexandria.

Geometry as POSCAR:
```
TlGe3O
1.0
5.3680 0.0000 0.0000
0.0000 5.3680 0.0000
0.0000 0.0000 5.3680
Tl Ge O
1 3 1
Cartesian
0.0000 0.0000 0.0000
0.0000 0.0000 2.6840
0.0000 2.6840 0.0000
2.6840 0.0000 0.0000
2.6840 2.6840 2.6840
```

Summary:
SG	Pm-3m

--- B ---
The following is a PBE-GGA calculation of a relaxed TlGe3O crystal, from Alexandria.

Geometry as POSCAR:
```
TlGe3O
1.0
4.6018 0.0000 0.0000
0.0000 4.6018 0.0000
0.0000 0.0000 4.6018
Tl Ge O
1 3 1
Cartesian
0.0000 0.0000 0.0000
0.0000 2.3009 2.3009
2.3009 0.0000 2.3009
2.3009 2.3009 0.0000
2.3009 2.3009 2.3009
```

Summary:
SG	Pm-3m

What should be chosen as the least stable of them? Choose A.